Cs3Li2VF9 | GGA+U | optimized geometry

- DFT total energy (eV per atom) = -4.865
- space-group type = P-3m1
- density of states at the Fermi level (states/eV/cell) = 6.77

Cell: 6.2522 6.2522 8.2339 Å, 90.00 90.00 120.00°
Sites, in units of the cell vectors:
Cs 0.0000 0.0000 0.0000
Cs 0.3333 0.6667 0.6743
Cs 0.6667 0.3333 0.3257
Li 0.3333 0.6667 0.0615
Li 0.6667 0.3333 0.9385
V 0.0000 0.0000 0.5000
F 0.0000 0.5000 0.0000
F 0.1420 0.2839 0.3669
F 0.1420 0.8580 0.3669
F 0.2839 0.1420 0.6331
F 0.5000 0.0000 0.0000
F 0.5000 0.5000 0.0000
F 0.7161 0.8580 0.3669
F 0.8580 0.1420 0.6331
F 0.8580 0.7161 0.6331